Computed, not measured: an optimized crystal structure of Sr2LiAu at the PBE level of DFT.

Cell and atoms, written as POSCAR:
```
Sr2LiAu
1.0
7.0306 0.0187 0.0284
5.9430 3.7563 0.0284
2.0724 0.6030 4.9662
Au Li Sr
1 1 2
Direct
0.5192 0.5192 0.4802
0.1779 0.1779 0.3224
0.7978 0.7978 0.7028
0.0051 0.0051 0.9946
```

Properties
Crystal system   monoclinic
V   130.4 Å³ per cell
Energy above the most stable polymorph in this dataset   0.095 eV per atom
Calculated formation energy   -0.335 eV/atom
Magnetization   0.0 μB/cell
ρ   4.83 Mg/m³
Uncorrected energy   -2.47 eV per atom

---

Computed, not measured: an optimized crystal structure of Sr3LiAu at the PBE level of DFT.

Cell and atoms, written as POSCAR:
```
Sr3LiAu
1.0
6.1137 0.0000 0.0000
0.0000 6.1137 0.0000
0.0000 0.0000 6.1137
Au Sr Li
1 3 1
Direct
0.0000 0.0000 0.0000
0.0000 0.5000 0.0000
0.5000 0.0000 0.0000
0.0000 0.0000 0.5000
0.5000 0.5000 0.5000
```

Properties
Crystal system   cubic
V   228.5 Å³ per cell
Energy above the most stable polymorph in this dataset   0.045 eV per atom
Calculated formation energy   -0.265 eV/atom
Magnetization   0.0 μB/cell
ρ   3.39 Mg/m³
Uncorrected energy   -2.31 eV per atom

---

Computed, not measured: an optimized crystal structure of Sr3Li2Au4 at the PBE level of DFT.

Cell and atoms, written as POSCAR:
```
Sr3Li2Au4
1.0
4.6798 0.0000 0.0000
-2.3399 5.7341 -0.2798
0.0000 -2.7040 8.6923
Li Sr Au
2 3 4
Direct
0.3220 0.6441 0.6536
0.6780 0.3559 0.3464
0.3645 0.7290 0.3045
0.0000 0.0000 0.0000
0.6355 0.2710 0.6955
0.9094 0.8187 0.5860
0.2831 0.5661 0.9286
0.7170 0.4339 0.0714
0.0906 0.1813 0.4140
```

Properties
Crystal system   monoclinic
V   229.7 Å³ per cell
Calculated formation energy   -0.655 eV/atom
Magnetization   0.0 μB/cell
ρ   7.70 Mg/m³
Uncorrected energy   -3.10 eV per atom

---

Computed, not measured: an optimized crystal structure of Sr2Li5Au5 at the PBE level of DFT.

Cell and atoms, written as POSCAR:
```
Sr2Li5Au5
1.0
4.4877 0.0000 0.0000
0.0000 5.4962 0.0000
0.0000 0.0000 10.1353
Au Li Sr
5 5 2
Direct
0.0000 0.5000 0.6713
0.0000 0.0000 0.1835
0.5000 0.0000 0.0000
0.0000 0.5000 0.3287
0.0000 0.0000 0.8165
0.5000 0.2455 0.2433
0.5000 0.5000 0.5000
0.5000 0.7545 0.7567
0.5000 0.7545 0.2433
0.5000 0.2455 0.7567
0.0000 0.5000 0.0000
0.0000 0.0000 0.5000
```

Properties
Crystal system   orthorhombic
V   250.0 Å³ per cell
Calculated formation energy   -0.554 eV/atom
Magnetization   0.0 μB/cell
ρ   7.94 Mg/m³
Uncorrected energy   -3.00 eV per atom

---

Computed, not measured: an optimized crystal structure of Sr3Li7Au4 at the PBE level of DFT.

Cell and atoms, written as POSCAR:
```
Sr3Li7Au4
1.0
4.3464 0.0000 1.0965
1.6253 8.1691 2.7203
0.0324 -0.1027 9.0342
Li Au Sr
7 4 3
Direct
0.4886 0.2337 0.7891
0.3181 0.8524 0.5113
0.1641 0.5964 0.0755
0.8359 0.4036 0.9245
0.6819 0.1476 0.4887
0.0000 0.0000 0.0000
0.5114 0.7663 0.2109
0.3384 0.5547 0.7685
0.1069 0.1077 0.6785
0.6616 0.4453 0.2315
0.8931 0.8923 0.3215
0.0000 0.5000 0.5000
0.6950 0.8204 0.7897
0.3050 0.1796 0.2103
```

Properties
Crystal system   monoclinic
V   321.5 Å³ per cell
Calculated formation energy   -0.471 eV/atom
Magnetization   0.0 μB/cell
ρ   5.68 Mg/m³
Uncorrected energy   -2.73 eV per atom

---

Computed, not measured: an optimized crystal structure of Sr2LiAu at the PBE level of DFT.

Cell and atoms, written as POSCAR:
```
Sr2LiAu
1.0
8.8044 0.0000 0.0000
0.0000 8.8044 0.0000
4.4022 4.4022 3.8207
Sr Li Au
4 2 2
Direct
0.3750 0.3384 0.7500
0.8750 0.9116 0.7500
0.0884 0.6250 0.2500
0.6616 0.1250 0.2500
0.5000 0.5000 0.0000
0.2500 0.7500 0.5000
0.0000 0.0000 0.0000
0.7500 0.2500 0.5000
```

Properties
Crystal system   tetragonal
V   296.2 Å³ per cell
Energy above the most stable polymorph in this dataset   0.257 eV per atom
Calculated formation energy   -0.172 eV/atom
Magnetization   0.0 μB/cell
ρ   4.25 Mg/m³
Uncorrected energy   -2.31 eV per atom

---

Computed, not measured: an optimized crystal structure of Sr2LiAu at the PBE level of DFT.

Cell and atoms, written as POSCAR:
```
Sr2LiAu
1.0
-3.7267 3.1461 -4.4078
-0.3618 -2.3140 -6.1424
-0.5581 -2.2931 6.1355
Li Au Sr
1 1 2
Direct
0.7500 0.2500 0.5000
0.5000 0.5000 0.0000
0.2500 0.7500 0.5000
0.0000 0.0000 0.0000
```

Properties
Crystal system   tetragonal
V   125.2 Å³ per cell
Energy above the most stable polymorph in this dataset   0.207 eV per atom
Calculated formation energy   -0.222 eV/atom
Magnetization   0.0 μB/cell
ρ   5.03 Mg/m³
Uncorrected energy   -2.36 eV per atom

---

Computed, not measured: an optimized crystal structure of Sr8LiAu2 at the PBE level of DFT.

Cell and atoms, written as POSCAR:
```
Sr8LiAu2
1.0
6.3223 0.2006 -0.9718
-1.9886 8.1085 -3.2979
0.1549 0.0127 8.9752
Sr Au Li
8 2 1
Direct
0.4112 0.6704 0.9360
0.2024 0.3865 0.3865
0.9994 0.2485 0.7574
0.5877 0.0700 0.3355
0.4112 0.9360 0.6704
0.7970 0.6198 0.6198
0.9994 0.7574 0.2485
0.5877 0.3355 0.0700
0.4995 0.6912 0.3150
0.4995 0.3150 0.6912
0.0048 0.0036 0.0036
```

Properties
Crystal system   monoclinic
V   465.1 Å³ per cell
Calculated formation energy   -0.273 eV/atom
Magnetization   0.0 μB/cell
ρ   3.93 Mg/m³
Uncorrected energy   -2.27 eV per atom

---

Computed, not measured: an optimized crystal structure of SrLiAu2 at the PBE level of DFT.

Cell and atoms, written as POSCAR:
```
SrLiAu2
1.0
-4.3593 1.3145 0.4652
2.3318 -1.5206 3.6330
3.1832 9.8243 2.0689
Sr Au Li
2 4 2
Direct
0.6667 0.3333 0.7500
0.3333 0.6667 0.2500
0.3333 0.6667 0.5638
0.6667 0.3333 0.0638
0.6667 0.3333 0.4362
0.3333 0.6667 0.9362
0.0000 0.0000 0.5000
0.0000 0.0000 0.0000
```

Properties
Crystal system   hexagonal
V   191.1 Å³ per cell
Energy above the most stable polymorph in this dataset   0.000 eV per atom
Calculated formation energy   -0.670 eV/atom
Magnetization   0.0 μB/cell
ρ   8.49 Mg/m³
Uncorrected energy   -3.21 eV per atom

---

Computed, not measured: an optimized crystal structure of Sr2LiAu at the PBE level of DFT.

Cell and atoms, written as POSCAR:
```
Sr2LiAu
1.0
5.4393 0.0000 0.0000
2.7196 4.7105 0.0000
2.7196 1.5702 4.4411
Au Li Sr
1 1 2
Direct
0.5000 0.5000 0.5000
0.7500 0.7500 0.7500
0.0000 0.0000 0.0000
0.2500 0.2500 0.2500
```

Properties
Crystal system   cubic
V   113.8 Å³ per cell
Energy above the most stable polymorph in this dataset   0.310 eV per atom
Calculated formation energy   -0.120 eV/atom
Magnetization   0.0 μB/cell
ρ   5.53 Mg/m³
Uncorrected energy   -2.26 eV per atom

---

Computed, not measured: an optimized crystal structure of SrLiAu2 at the PBE level of DFT.

Cell and atoms, written as POSCAR:
```
SrLiAu2
1.0
4.7833 0.0000 0.0000
0.0000 4.1064 -0.0077
0.0000 0.5006 5.1238
Li Au Sr
1 2 1
Direct
0.0000 0.3884 0.4296
0.0000 0.2021 0.9522
0.5000 0.1869 0.2991
0.5000 0.7225 0.8192
```

Properties
Crystal system   monoclinic
V   100.7 Å³ per cell
Energy above the most stable polymorph in this dataset   0.103 eV per atom
Calculated formation energy   -0.567 eV/atom
Magnetization   0.0 μB/cell
ρ   8.06 Mg/m³
Uncorrected energy   -3.10 eV per atom

---

Please write out number 4 again, unchanged.
Computed, not measured: an optimized crystal structure of Sr2Li5Au5 at the PBE level of DFT.

Cell and atoms, written as POSCAR:
```
Sr2Li5Au5
1.0
4.4877 0.0000 0.0000
0.0000 5.4962 0.0000
0.0000 0.0000 10.1353
Au Li Sr
5 5 2
Direct
0.0000 0.5000 0.6713
0.0000 0.0000 0.1835
0.5000 0.0000 0.0000
0.0000 0.5000 0.3287
0.0000 0.0000 0.8165
0.5000 0.2455 0.2433
0.5000 0.5000 0.5000
0.5000 0.7545 0.7567
0.5000 0.7545 0.2433
0.5000 0.2455 0.7567
0.0000 0.5000 0.0000
0.0000 0.0000 0.5000
```

Properties
Crystal system   orthorhombic
V   250.0 Å³ per cell
Calculated formation energy   -0.554 eV/atom
Magnetization   0.0 μB/cell
ρ   7.94 Mg/m³
Uncorrected energy   -3.00 eV per atom

---

The highest uncorrected energy belongs to which entry?
number 10

---

Look up the V of the third one.
229.7 Å³ per cell

---

Which of these has the highest uncorrected energy?
number 10